[1]
A plane-wave DFT calculation with PBE was carried out for crystalline P2PtBrO at its relaxed geometry.

Values from the calculation:
Formation energy without anion corrections in eV/atom: 0.54
Space-group type: No. 123
Excess energy over the best structure of this formula in the dataset in kJ/mol of atoms: 0.0
DOS at the Fermi energy in states/eV/f.u.: 3.23
V in Å³/cell: 92.1

Unit cell a=4.8783 b=4.8783 c=3.8691 alpha=90.00 beta=90.00 gamma=90.00
Fractional positions:
P 0.0000 0.5000 0.0000
P 0.5000 0.0000 0.0000
Pt 0.0000 0.0000 0.0000
Br 0.5000 0.5000 0.5000
O 0.0000 0.0000 0.5000

---

[2]
A plane-wave DFT calculation with PBE was carried out for crystalline La2Pr3Dy6Tm at its relaxed geometry.

Values from the calculation:
Energy of formation in eV per atom: 0.016
Space-group type: No. 12
DOS at the Fermi energy in states/eV/f.u.: 14.35
V in Å³/cell: 399.7

Unit cell a=6.2735 b=6.2735 c=11.9119 alpha=95.02 beta=95.02 gamma=120.00
Fractional positions:
La 0.1660 0.8340 0.0000
La 0.8340 0.1660 0.0000
Pr 0.0000 0.0000 0.5000
Pr 0.3332 0.6668 0.5000
Pr 0.6668 0.3332 0.5000
Dy 0.0848 0.4167 0.7506
Dy 0.2514 0.2514 0.2498
Dy 0.4167 0.0848 0.7506
Dy 0.5833 0.9152 0.2494
Dy 0.7486 0.7486 0.7502
Dy 0.9152 0.5833 0.2494
Tm 0.5000 0.5000 0.0000

---

[3]
A plane-wave DFT calculation with PBE was carried out for crystalline CrAg2W at its relaxed geometry.

Values from the calculation:
Energy of formation in eV per atom: 0.663
Space-group type: No. 71
Excess energy over the best structure of this formula in the dataset in kJ/mol of atoms: 27.0
DOS at the Fermi energy in states/eV/f.u.: 2.38
V in Å³/cell: 64.1

Unit cell a=5.5144 b=5.5144 c=5.5144 alpha=147.71 beta=133.84 gamma=57.45
Fractional positions:
Cr 0.0000 0.0000 0.0000
Ag 0.2399 0.7399 0.5000
Ag 0.7601 0.2601 0.5000
W 0.5000 0.5000 0.0000

---

[4]
A plane-wave DFT calculation with PBE was carried out for crystalline La3RuI at its relaxed geometry.

Values from the calculation:
Formation energy without anion corrections in eV/atom: -0.55
Space-group type: No. 59
Excess energy over the best structure of this formula in the dataset in kJ/mol of atoms: 0.0
DOS at the Fermi energy in states/eV/f.u.: 4.47
V in Å³/cell: 319.3

Unit cell a=4.2843 b=7.1826 c=10.3759 alpha=90.00 beta=90.00 gamma=90.00
Fractional positions:
La 0.2500 0.0014 0.1437
La 0.2500 0.2500 0.6050
La 0.2500 0.4986 0.1437
La 0.7500 0.5014 0.8563
La 0.7500 0.7500 0.3950
La 0.7500 0.9986 0.8563
Ru 0.2500 0.2500 0.8952
Ru 0.7500 0.7500 0.1048
I 0.2500 0.7500 0.6452
I 0.7500 0.2500 0.3548

---

Q: Which of these has the lowest DOS at the Fermi energy?
A: CrAg2W

---

Q: The highest DOS at the Fermi energy belongs to which entry?
A: La2Pr3Dy6Tm

---

Q: Number 1 is which compound?
A: P2PtBrO